The following is a DFT calculation (GGA-PBE) of a relaxed Pm6ZnCo2Br3 crystal.

Results
- V: 27.6 Å³/atom
- E_form (uncorrected): -69.17 kJ/mol of atoms

Lattice parameters (Å, degrees): 7.049 7.049 8.063 98.38 98.38 120.02
Atoms (fractional coordinates):
Pm 0.073 0.434 0.801
Pm 0.205 0.205 0.198
Pm 0.434 0.073 0.801
Pm 0.566 0.927 0.199
Pm 0.795 0.795 0.802
Pm 0.927 0.566 0.199
Zn 0.500 0.500 0.000
Co 0.167 0.833 0.000
Co 0.833 0.167 0.000
Br 0.000 0.000 0.500
Br 0.335 0.665 0.500
Br 0.665 0.335 0.500

***

The following is a DFT calculation (GGA-PBE) of a relaxed CeTiH2 crystal.

Results
- Energy relative to the lowest polymorph listed for this composition: 0 meV/atom
- V: 11.6 Å³/atom

Lattice parameters (Å, degrees): 6.181 6.181 6.181 28.13 28.13 28.13
Atoms (fractional coordinates):
Ce 0.000 0.000 0.000
Ti 0.500 0.500 0.500
H 0.222 0.222 0.222
H 0.778 0.778 0.778

***

The following is a DFT calculation (GGA-PBE) of a relaxed NbReHg2 crystal.

Results
- Energy relative to the lowest polymorph listed for this composition: 315 meV/atom
- V: 20.4 Å³/atom
- E_form: 1.11 eV/atom

Lattice parameters (Å, degrees): 6.087 6.087 6.087 101.99 101.99 125.77
Atoms (fractional coordinates):
Nb 0.000 0.000 0.000
Nb 0.750 0.250 0.500
Re 0.250 0.750 0.500
Re 0.500 0.500 0.000
Hg 0.135 0.125 0.510
Hg 0.375 0.865 0.990
Hg 0.615 0.625 0.490
Hg 0.875 0.385 0.010

***

The following is a DFT calculation (GGA-PBE) of a relaxed PmCd14In crystal.

Results
- V: 23.8 Å³/atom
- E_form: -0.05 eV/atom

Lattice parameters (Å, degrees): 6.657 6.657 8.587 90.00 90.00 90.00
Atoms (fractional coordinates):
Pm 0.000 0.000 0.000
Cd 0.000 0.000 0.500
Cd 0.000 0.500 0.000
Cd 0.000 0.500 0.500
Cd 0.252 0.252 0.260
Cd 0.252 0.252 0.740
Cd 0.252 0.748 0.260
Cd 0.252 0.748 0.740
Cd 0.500 0.000 0.000
Cd 0.500 0.000 0.500
Cd 0.500 0.500 0.500
Cd 0.748 0.252 0.260
Cd 0.748 0.252 0.740
Cd 0.748 0.748 0.260
Cd 0.748 0.748 0.740
In 0.500 0.500 0.000

***

Number 1: spin magnetization 0.000 μB/atom. Number 2: spin magnetization 0.000 μB/atom. Number 3: spin magnetization 0.230 μB/atom. Number 4: spin magnetization 0.000 μB/atom.